Entry 1:
The following is a GGA-PBE calculation of an optimized crystal structure of ReSi2As, from Alexandria via LeMat-Bulk.

Output
The value obtained for the density of states at the Fermi level is 0.898 states/eV/f.u. As for the space group: No. 12. As for the crystal system: monoclinic. The value obtained for the magnetic moment is 0.000 μB per formula unit. The density comes out at 8.34 g cm⁻³. For the formation energy (no corrections), the calculation gives 0.24 eV per atom.

Cell lengths 4.3864, 4.3864, 4.8940 Å; angles 85.49, 85.49, 42.35 degrees
Last column: nearest neighbours and their distance in Å.
Element x y z (fractional)
1 As 0.7500 0.7500 0.7500  2 Si 2.47
2 Re 0.2500 0.2500 0.2500  6 Si 2.52-2.54
3 Si 0.5257 0.5257 0.4426  1 As 2.47, 3 Re 2.52-2.54, 2 Si 2.53
4 Si 0.9743 0.9743 0.0574  1 As 2.47, 3 Re 2.52-2.54, 2 Si 2.53

---

Entry 2:
The following is a GGA-PBE calculation of an optimized crystal structure of Re2SiAs, from Alexandria via LeMat-Bulk.

Output
The value obtained for the density of states at the Fermi level is 1.760 states/eV/f.u. As for the space group: No. 225. As for the crystal system: cubic. The value obtained for the magnetic moment is 0.000 μB per formula unit. The density comes out at 14.08 g cm⁻³. For the formation energy (no corrections), the calculation gives 0.09 eV per atom.

Cell lengths 4.2959, 4.2959, 4.2959 Å; angles 60.00, 60.00, 60.00 degrees
Last column: nearest neighbours and their distance in Å.
Element x y z (fractional)
1 Re 0.7500 0.7500 0.7500  4 As 2.63, 4 Si 2.63
2 Re 0.2500 0.2500 0.2500  4 As 2.63, 4 Si 2.63
3 As 0.5000 0.5000 0.5000  8 Re 2.63
4 Si 0.0000 0.0000 0.0000  8 Re 2.63

---

Entry 3:
The following is a GGA-PBE calculation of an optimized crystal structure of ReSiAs, from Alexandria via LeMat-Bulk.

Output
The value obtained for the density of states at the Fermi level is 1.104 states/eV/f.u. As for the space group: No. 156. As for the crystal system: trigonal. The value obtained for the magnetic moment is 0.000 μB per formula unit. The density comes out at 10.22 g cm⁻³. For the formation energy (no corrections), the calculation gives 0.06 eV per atom.

Cell lengths 3.1212, 3.1212, 5.5704 Å; angles 90.00, 90.00, 120.00 degrees
Last column: nearest neighbours and their distance in Å.
Element x y z (fractional)
1 As 0.0000 0.0000 0.0154  3 Re 2.55, 3 Si 2.73
2 Re 0.6667 0.3333 0.3385  3 Si 2.49, 3 As 2.55
3 Si 0.3333 0.6667 0.6462  3 Re 2.49, 3 As 2.73